Entry 1:
{"formula": "CsNaSbTe2", "functional": "GGA-PBE", "state": "optimized geometry", "spacegroup": "Cmme (67)", "formation_energy_uncorrected_kj_per_mol_atoms": -47.2, "m_tot_mub_per_cell": 0.00, "volume_a3_per_cell": 381.4, "total_energy_ev_per_atom": -3.005, "de_polymorph_mev_per_atom": 0, "lattice_angstrom": [[3.523, -7.330, 0.000], [3.523, 7.330, 0.000], [0.000, 0.000, 7.386]], "species": ["Cs", "Cs", "Na", "Na", "Sb", "Sb", "Te", "Te", "Te", "Te"], "fractional_positions": [[0.250, 0.750, 0.781], [0.750, 0.250, 0.219], [0.250, 0.250, 0.500], [0.750, 0.750, 0.500], [0.000, 0.000, 0.000], [0.500, 0.500, 0.000], [0.145, 0.855, 0.280], [0.355, 0.645, 0.280], [0.645, 0.355, 0.720], [0.855, 0.145, 0.720]]}



Entry 2:
{"formula": "CsNaSbTe2", "functional": "GGA-PBE", "state": "optimized geometry", "spacegroup": "P4/mmm (123)", "formation_energy_uncorrected_kj_per_mol_atoms": 0.1, "m_tot_mub_per_cell": 0.00, "volume_a3_per_cell": 192.0, "total_energy_ev_per_atom": -2.514, "de_polymorph_mev_per_atom": 491, "lattice_angstrom": [[5.852, 0.000, 0.000], [0.000, 5.852, 0.000], [0.000, 0.000, 5.607]], "species": ["Cs", "Na", "Sb", "Te", "Te"], "fractional_positions": [[0.000, 0.000, 0.000], [0.500, 0.500, 0.500], [0.500, 0.500, 0.000], [0.000, 0.500, 0.500], [0.500, 0.000, 0.500]]}



Entry 3:
{"formula": "CsNaSbTe3", "functional": "GGA-PBE", "state": "optimized geometry", "spacegroup": "Cmcm (63)", "formation_energy_uncorrected_kj_per_mol_atoms": -50.8, "m_tot_mub_per_cell": 0.00, "volume_a3_per_cell": 519.6, "total_energy_ev_per_atom": -3.146, "lattice_angstrom": [[4.090, -8.124, 0.000], [4.090, 8.124, 0.000], [0.000, 0.000, 7.820]], "species": ["Cs", "Cs", "Na", "Na", "Sb", "Sb", "Te", "Te", "Te", "Te", "Te", "Te"], "fractional_positions": [[0.220, 0.780, 0.750], [0.780, 0.220, 0.250], [0.098, 0.902, 0.250], [0.902, 0.098, 0.750], [0.455, 0.545, 0.250], [0.545, 0.455, 0.750], [0.233, 0.233, 0.000], [0.233, 0.233, 0.500], [0.285, 0.715, 0.250], [0.715, 0.285, 0.750], [0.767, 0.767, 0.000], [0.767, 0.767, 0.500]]}



Entry 4:
{"formula": "CsNaSb2Te", "functional": "GGA-PBE", "state": "optimized geometry", "spacegroup": "P4/mmm (123)", "formation_energy_uncorrected_kj_per_mol_atoms": 85.1, "m_tot_mub_per_cell": 0.96, "volume_a3_per_cell": 267.5, "total_energy_ev_per_atom": -1.830, "de_polymorph_mev_per_atom": 725, "lattice_angstrom": [[6.354, 0.000, 0.000], [0.000, 6.354, 0.000], [0.000, 0.000, 6.625]], "species": ["Cs", "Na", "Sb", "Sb", "Te"], "fractional_positions": [[0.000, 0.000, 0.000], [0.500, 0.500, 0.500], [0.000, 0.500, 0.000], [0.500, 0.000, 0.000], [0.000, 0.000, 0.500]]}



Entry 5:
{"formula": "CsNaTl2Sb2", "functional": "GGA-PBE", "state": "optimized geometry", "spacegroup": "P-3m1 (164)", "formation_energy_uncorrected_kj_per_mol_atoms": -27.0, "m_tot_mub_per_cell": 0.00, "volume_a3_per_cell": 221.2, "total_energy_ev_per_atom": -2.804, "lattice_angstrom": [[5.366, 0.000, 0.000], [-2.683, 4.647, 0.000], [0.000, 0.000, 8.870]], "species": ["Cs", "Na", "Tl", "Tl", "Sb", "Sb"], "fractional_positions": [[0.000, 0.000, 0.000], [0.000, 0.000, 0.500], [0.333, 0.667, 0.638], [0.667, 0.333, 0.362], [0.333, 0.667, 0.287], [0.667, 0.333, 0.713]]}



Entry 6:
{"formula": "CsNaTlSb", "functional": "GGA-PBE", "state": "optimized geometry", "spacegroup": "R3m (160)", "formation_energy_uncorrected_kj_per_mol_atoms": -32.0, "m_tot_mub_per_cell": 0.00, "volume_a3_per_cell": 166.3, "total_energy_ev_per_atom": -2.497, "de_polymorph_mev_per_atom": 0, "lattice_angstrom": [[2.639, 1.524, 6.891], [-2.639, 1.524, 6.891], [0.000, -3.048, 6.891]], "species": ["Cs", "Na", "Tl", "Sb"], "fractional_positions": [[0.000, 0.000, 0.000], [0.472, 0.472, 0.472], [0.208, 0.208, 0.208], [0.799, 0.799, 0.799]]}



Entry 7:
{"formula": "CsNa2Tl2Sb2", "functional": "GGA-PBE", "state": "optimized geometry", "spacegroup": "R-3m (166)", "formation_energy_uncorrected_kj_per_mol_atoms": -26.8, "m_tot_mub_per_cell": 0.00, "volume_a3_per_cell": 257.2, "total_energy_ev_per_atom": -2.630, "lattice_angstrom": [[2.709, 1.564, 10.119], [-2.709, 1.564, 10.119], [0.000, -3.128, 10.119]], "species": ["Cs", "Na", "Na", "Tl", "Tl", "Sb", "Sb"], "fractional_positions": [[0.000, 0.000, 0.000], [0.138, 0.138, 0.138], [0.862, 0.862, 0.862], [0.446, 0.446, 0.446], [0.554, 0.554, 0.554], [0.242, 0.242, 0.242], [0.758, 0.758, 0.758]]}



Entry 8:
{"formula": "CsNaTlSb", "functional": "GGA-PBE", "state": "optimized geometry", "spacegroup": "F-43m (216)", "formation_energy_uncorrected_kj_per_mol_atoms": -22.4, "m_tot_mub_per_cell": 0.00, "volume_a3_per_cell": 142.2, "total_energy_ev_per_atom": -2.397, "de_polymorph_mev_per_atom": 100, "lattice_angstrom": [[0.000, 4.143, 4.143], [4.143, 0.000, 4.143], [4.143, 4.143, 0.000]], "species": ["Cs", "Na", "Tl", "Sb"], "fractional_positions": [[0.000, 0.000, 0.000], [0.750, 0.750, 0.750], [0.250, 0.250, 0.250], [0.500, 0.500, 0.500]]}



Entry 9:
{"formula": "Cs2NaSc", "functional": "GGA-PBE", "state": "optimized geometry", "delta_e_f_ev_per_atom": 0.65, "spacegroup": "Fm-3m (225)", "m_tot_mub_per_cell": 1.90, "volume_a3_per_cell": 242.9, "total_energy_ev_per_atom": -1.686, "lattice_angstrom": [[0.000, 4.952, 4.952], [4.952, 0.000, 4.952], [4.952, 4.952, 0.000]], "species": ["Cs", "Cs", "Na", "Sc"], "fractional_positions": [[0.250, 0.250, 0.250], [0.750, 0.750, 0.750], [0.000, 0.000, 0.000], [0.500, 0.500, 0.500]]}



Entry 10:
{"formula": "CsNaSc3", "functional": "GGA-PBE", "state": "optimized geometry", "delta_e_f_ev_per_atom": 1.35, "spacegroup": "Pm-3m (221)", "m_tot_mub_per_cell": 0.00, "volume_a3_per_cell": 160.8, "total_energy_ev_per_atom": -2.882, "de_polymorph_mev_per_atom": 228, "lattice_angstrom": [[5.438, 0.000, 0.000], [0.000, 5.438, 0.000], [0.000, 0.000, 5.438]], "species": ["Cs", "Na", "Sc", "Sc", "Sc"], "fractional_positions": [[0.000, 0.000, 0.000], [0.500, 0.500, 0.500], [0.000, 0.000, 0.500], [0.000, 0.500, 0.000], [0.500, 0.000, 0.000]]}



Entry 11:
{"formula": "CsNaSc2", "functional": "GGA-PBE", "state": "optimized geometry", "delta_e_f_ev_per_atom": 0.81, "spacegroup": "I-42d (122)", "m_tot_mub_per_cell": 1.71, "volume_a3_per_cell": 284.5, "total_energy_ev_per_atom": -2.898, "de_polymorph_mev_per_atom": 182, "lattice_angstrom": [[-2.299, 2.299, 13.453], [2.299, -2.299, 13.453], [2.299, 2.299, -13.453]], "species": ["Cs", "Cs", "Na", "Na", "Sc", "Sc", "Sc", "Sc"], "fractional_positions": [[0.000, 0.000, 0.000], [0.750, 0.250, 0.500], [0.250, 0.750, 0.500], [0.500, 0.500, 0.000], [0.135, 0.625, 0.010], [0.375, 0.385, 0.510], [0.615, 0.125, 0.990], [0.875, 0.865, 0.490]]}



Entry 12:
{"formula": "CsNaSc3", "functional": "GGA-PBE", "state": "optimized geometry", "delta_e_f_ev_per_atom": 1.12, "spacegroup": "Pm-3m (221)", "m_tot_mub_per_cell": 0.00, "volume_a3_per_cell": 180.6, "total_energy_ev_per_atom": -3.110, "de_polymorph_mev_per_atom": 0, "lattice_angstrom": [[5.653, 0.000, 0.000], [0.000, 5.653, 0.000], [0.000, 0.000, 5.653]], "species": ["Cs", "Na", "Sc", "Sc", "Sc"], "fractional_positions": [[0.000, 0.000, 0.000], [0.500, 0.500, 0.500], [0.000, 0.500, 0.500], [0.500, 0.000, 0.500], [0.500, 0.500, 0.000]]}



Entry 13:
{"formula": "Cs3NaSc", "functional": "GGA-PBE", "state": "optimized geometry", "delta_e_f_ev_per_atom": 0.67, "spacegroup": "Pm-3m (221)", "m_tot_mub_per_cell": 3.00, "volume_a3_per_cell": 444.7, "total_energy_ev_per_atom": -1.368, "de_polymorph_mev_per_atom": 0, "lattice_angstrom": [[7.633, 0.000, 0.000], [0.000, 7.633, 0.000], [0.000, 0.000, 7.633]], "species": ["Cs", "Cs", "Cs", "Na", "Sc"], "fractional_positions": [[0.000, 0.000, 0.500], [0.000, 0.500, 0.000], [0.500, 0.000, 0.000], [0.500, 0.500, 0.500], [0.000, 0.000, 0.000]]}